Density functional theory data (PBE) for a geometry-optimized ThTaN3 structure.

a = 5.712 Å, b = 5.712 Å, c = 5.712 Å
α = 119.99°, β = 119.27°, γ = 90.64°
Atoms (fractional coordinates):
N (0.145, 0.750, 0.395)
N (0.309, 0.809, 0.000)
N (0.309, 0.309, 0.500)
Th (0.735, 0.750, 0.985)
Ta (0.000, 0.500, 0.500)
N (0.691, 0.691, 0.500)
N (0.691, 0.191, 0.000)
N (0.855, 0.250, 0.605)
Ta (0.500, 0.000, 0.500)
Th (0.265, 0.250, 0.015)

Values from the calculation:
Space-group type: Imma (74)
Uncorrected formation energy (meV per atom): -1445
Theoretical density (g cm⁻³): 11.40
Magnetization (μB per atom): 0.0000
Energy (eV/atom): -10.295